Crystalline In2SnSe at its relaxed geometry. Source: Alexandria via LeMat-Bulk, functional PBE.

Cell lengths 3.678, 3.678, 7.689 Å; angles 90.00, 90.00, 90.00 degrees
Fractional coordinates of all 4 atoms:
1 Se 0.500 0.500 0.000
2 Sn 0.500 0.500 0.500
3 In 0.000 0.000 0.224
4 In 0.000 0.000 0.776

Output
E_form (uncorrected): -84 meV/atom
E_tot: -13.30 eV per formula unit
offset from the most stable computed form: 0.49 eV/f.u.
density: 6.8 g/cm3

***

Crystalline InSnSe4 at its relaxed geometry. Source: Alexandria via LeMat-Bulk, functional PBE.

Cell lengths 3.967, 7.006, 11.333 Å; angles 98.08, 90.00, 90.00 degrees
Fractional coordinates of all 12 atoms:
1 Se 0.000 0.645 0.364
2 Se 0.500 0.863 0.640
3 Se 0.500 0.137 0.360
4 Se 0.500 0.145 0.864
5 Se 0.500 0.855 0.136
6 Se 0.000 0.637 0.860
7 Se 0.000 0.355 0.636
8 Se 0.000 0.363 0.140
9 Sn 0.000 0.000 0.500
10 Sn 0.500 0.500 0.000
11 In 0.000 0.000 0.000
12 In 0.500 0.500 0.500

Output
E_form (uncorrected): -290 meV/atom
E_tot: -22.42 eV per formula unit
density: 5.9 g/cm3

***

Crystalline In6SnSe8 at its relaxed geometry. Source: Alexandria via LeMat-Bulk, functional PBE.

Cell lengths 7.533, 7.533, 7.533 Å; angles 90.01, 90.01, 90.01 degrees
Fractional coordinates of all 15 atoms:
1 Se 0.312 0.312 0.312
2 Se 0.688 0.688 0.688
3 Se 0.168 0.842 0.324
4 Se 0.842 0.324 0.168
5 Se 0.832 0.158 0.676
6 Se 0.324 0.168 0.842
7 Se 0.158 0.676 0.832
8 Se 0.676 0.832 0.158
9 In 0.376 0.613 0.122
10 In 0.613 0.122 0.376
11 In 0.122 0.376 0.613
12 In 0.878 0.624 0.387
13 In 0.387 0.878 0.624
14 In 0.624 0.387 0.878
15 Sn 0.000 0.000 0.000

Output
E_form (uncorrected): -373 meV/atom
E_tot: -53.91 eV per formula unit
density: 5.6 g/cm3

***

Crystalline InSnSe2 at its relaxed geometry. Source: Alexandria via LeMat-Bulk, functional PBE.

Cell lengths 4.117, 4.117, 7.786 Å; angles 74.67, 74.67, 60.00 degrees
Fractional coordinates of all 4 atoms:
1 Sn 0.667 0.667 0.998
2 In 0.497 0.497 0.508
3 Se 0.081 0.081 0.758
4 Se 0.255 0.255 0.235

Output
E_form (uncorrected): -356 meV/atom
E_tot: -15.14 eV per formula unit
density: 6.0 g/cm3

***

Crystalline InSnSe at its relaxed geometry. Source: Alexandria via LeMat-Bulk, functional PBE.

Cell lengths 6.176, 4.025, 14.798 Å; angles 90.00, 114.87, 90.00 degrees
Fractional coordinates of all 12 atoms:
1 In 0.754 0.000 0.045
2 In 0.754 0.500 0.545
3 In 0.636 0.500 0.874
4 In 0.636 0.000 0.374
5 Sn 0.262 0.500 0.545
6 Sn 0.994 0.000 0.723
7 Sn 0.994 0.500 0.223
8 Sn 0.262 0.000 0.045
9 Se 0.442 0.500 0.219
10 Se 0.109 0.000 0.378
11 Se 0.109 0.500 0.878
12 Se 0.442 0.000 0.719

Output
E_form (uncorrected): -229 meV/atom
E_tot: -10.91 eV per formula unit
offset from the most stable computed form: 0.16 eV/f.u.
density: 6.2 g/cm3

***

Crystalline InSnSe at its relaxed geometry. Source: Alexandria via LeMat-Bulk, functional PBE.

Cell lengths 8.082, 6.904, 6.336 Å; angles 95.90, 90.00, 90.00 degrees
Fractional coordinates of all 12 atoms:
1 Sn 0.753 0.240 0.736
2 Sn 0.253 0.760 0.764
3 Sn 0.247 0.760 0.264
4 Sn 0.747 0.240 0.236
5 Se 0.913 0.611 0.750
6 Se 0.087 0.389 0.250
7 Se 0.587 0.611 0.250
8 Se 0.413 0.389 0.750
9 In 0.878 0.811 0.155
10 In 0.378 0.189 0.345
11 In 0.122 0.189 0.845
12 In 0.622 0.811 0.655

Output
E_form (uncorrected): -183 meV/atom
E_tot: -10.77 eV per formula unit
offset from the most stable computed form: 0.30 eV/f.u.
density: 5.9 g/cm3

***

Crystalline In2SnSe at its relaxed geometry. Source: Alexandria via LeMat-Bulk, functional PBE.

Cell lengths 3.735, 3.735, 10.153 Å; angles 79.40, 79.40, 60.00 degrees
Fractional coordinates of all 4 atoms:
1 Sn 0.000 0.000 0.000
2 Se 0.500 0.500 0.500
3 In 0.102 0.102 0.694
4 In 0.898 0.898 0.306

Output
E_form (uncorrected): -62 meV/atom
E_tot: -13.21 eV per formula unit
offset from the most stable computed form: 0.58 eV/f.u.
density: 5.9 g/cm3

***

Crystalline In2Sn2Se at its relaxed geometry. Source: Alexandria via LeMat-Bulk, functional PBE.

Cell lengths 4.171, 4.171, 8.573 Å; angles 75.92, 75.92, 90.00 degrees
Fractional coordinates of all 5 atoms:
1 Sn 0.591 0.591 0.818
2 Sn 0.409 0.409 0.182
3 In 0.750 0.250 0.500
4 In 0.250 0.750 0.500
5 Se 0.000 0.000 0.000

Output
E_form (uncorrected): 72 meV/atom
E_tot: -16.61 eV per formula unit
offset from the most stable computed form: 0.36 eV/f.u.
density: 6.5 g/cm3